## PmDyMgPa (GGA-PBE)

Data for a relaxed PmDyMgPa crystal.

Formation enthalpy at 0 K: 131.0 kJ/mol of formula units
M_tot: 0.00 Bohr magnetons per cell

a b c (Å): 5.4209 5.4209 5.4209
angles (deg): 60.00 60.00 60.00
Closest atoms and distances in Å follow each position.
Fractional positions:
Pm  0.0000  0.0000  0.0000  4 Mg 3.32, 4 Pa 3.32
Dy  0.5000  0.5000  0.5000  4 Mg 3.32, 4 Pa 3.32
Mg  0.7500  0.7500  0.7500  4 Pm 3.32, 4 Dy 3.32
Pa  0.2500  0.2500  0.2500  4 Dy 3.32, 4 Pm 3.32